A:
Crystalline LiNd2Er at its relaxed geometry. Source: the Alexandria database, functional GGA-PBE.

a b c (Å): 3.5411 3.5411 11.8890
angles (deg): 90.00 90.00 120.00
Last column: nearest neighbours and their distance in Å.
Space group P3m1 (No. 156)
One atom of each set of equivalent atoms:
Li  0.0000  0.0000  0.0000 (multiplicity 1)  4 Nd 3.27-3.51, 6 Li 3.54
Nd  0.0000  0.0000  0.7248 (multiplicity 1)  1 Li 3.27, 3 Er 3.51, 6 Nd 3.54
Nd  0.6667  0.3333  0.2404 (multiplicity 1)  3 Li 3.51, 6 Nd 3.54, 3 Er 3.55
Er  0.3333  0.6667  0.4844 (multiplicity 1)  6 Nd 3.51-3.55, 6 Er 3.54

* total magnetic moment: 0.00 μB/f.u.

---

B:
Crystalline LiNd2Er at its relaxed geometry. Source: the Alexandria database, functional GGA-PBE.

a b c (Å): 3.5162 3.5162 37.1189
angles (deg): 90.00 90.00 120.00
Last column: nearest neighbours and their distance in Å.
Space group R-3m (No. 166, hexagonal axes)
One atom of each set of equivalent atoms:
Li  0.0000  0.0000  0.0000 (multiplicity 3)  2 Nd 3.31, 6 Li 3.52
Nd  0.0000  0.0000  0.0893 (multiplicity 6)  1 Li 3.31, 6 Nd 3.52, 3 Er 3.52
Er  0.0000  0.0000  0.5000 (multiplicity 3)  6 Er 3.52, 6 Nd 3.52

* total magnetic moment: 0.00 μB/f.u.

---

Which one sits at the top of the stability order? A does.

---

A:
Crystalline LiNdEr2 at its relaxed geometry. Source: the Alexandria database, functional GGA-PBE.

a b c (Å): 5.6506 5.6506 3.6988
angles (deg): 90.00 90.00 90.00
Last column: nearest neighbours and their distance in Å.
Space group P4/mmm (No. 123)
One atom of each set of equivalent atoms:
Li  0.0000  0.0000  0.0000 (multiplicity 1)  8 Er 3.38, 2 Li 3.70
Nd  0.5000  0.5000  0.0000 (multiplicity 1)  8 Er 3.38, 2 Nd 3.70
Er  0.0000  0.5000  0.5000 (multiplicity 2)  4 Li 3.38, 4 Nd 3.38, 2 Er 3.70

* total magnetic moment: 0.00 μB/f.u.

---

B:
Crystalline LiNdEr2 at its relaxed geometry. Source: the Alexandria database, functional GGA-PBE.

a b c (Å): 3.6441 3.6441 8.7042
angles (deg): 90.00 90.00 90.00
Last column: nearest neighbours and their distance in Å.
Space group P4/mmm (No. 123)
One atom of each set of equivalent atoms:
Li  0.0000  0.0000  0.0000 (multiplicity 1)  8 Er 3.18
Nd  0.0000  0.0000  0.5000 (multiplicity 1)  8 Er 3.58, 4 Nd 3.64
Er  0.5000  0.5000  0.2145 (multiplicity 2)  4 Li 3.18

* total magnetic moment: 0.00 μB/f.u.

---

C:
Crystalline LiNdEr2 at its relaxed geometry. Source: the Alexandria database, functional GGA-PBE.

a b c (Å): 3.5142 3.5142 33.6963
angles (deg): 90.00 90.00 120.00
Last column: nearest neighbours and their distance in Å.
Space group R3m (No. 160, hexagonal axes)
One atom of each set of equivalent atoms:
Li  0.0000  0.0000  0.0000 (multiplicity 3)  6 Er 3.35-3.36, 6 Li 3.51
Nd  0.0000  0.0000  0.8334 (multiplicity 3)  6 Nd 3.51, 6 Er 3.57
Er  0.0000  0.0000  0.4129 (multiplicity 3)  3 Li 3.36, 6 Er 3.51, 3 Nd 3.57
Er  0.0000  0.0000  0.5874 (multiplicity 3)  3 Li 3.35, 6 Er 3.51, 3 Nd 3.57

* total magnetic moment: 0.00 μB/f.u.

---

Which one sits at the top of the stability order? B does.

---

A:
Crystalline LiErO2 at its relaxed geometry. Source: the Alexandria database, functional GGA-PBE.

a b c (Å): 3.3174 3.3174 16.5245
angles (deg): 90.00 90.00 120.00
Last column: nearest neighbours and their distance in Å.
Space group R3m (No. 160, hexagonal axes)
One atom of each set of equivalent atoms:
Li  0.0000  0.0000  0.0000 (multiplicity 3)  3 O 2.25
Er  0.0000  0.0000  0.8160 (multiplicity 3)  6 O 2.21-2.31
O  0.0000  0.0000  0.2164 (multiplicity 3)  3 Er 2.21
O  0.0000  0.0000  0.4045 (multiplicity 3)  3 Li 2.25, 3 Er 2.31

* total magnetic moment: 0.00 μB/f.u.

---

B:
Crystalline LiErO2 at its relaxed geometry. Source: the Alexandria database, functional GGA-PBE.

a b c (Å): 4.4107 4.4107 10.3884
angles (deg): 90.00 90.00 90.00
Last column: nearest neighbours and their distance in Å.
Space group I4_1/amd (No. 141, origin choice 2)
One atom of each set of equivalent atoms:
Li  0.0000  0.2500  0.3750 (multiplicity 4)  4 O 2.23
Er  0.0000  0.2500  0.8750 (multiplicity 4)  6 O 2.23-2.30
O  0.0000  0.2500  0.0960 (multiplicity 8)  2 Li 2.23, 3 Er 2.23-2.30

* total magnetic moment: 0.00 μB/f.u.

---

Which one sits at the top of the stability order? B does.

---

A:
Crystalline LiErO2 at its relaxed geometry. Source: the Alexandria database, functional GGA-PBE.

a b c (Å): 3.3347 3.3347 15.1398
angles (deg): 90.00 90.00 120.00
Last column: nearest neighbours and their distance in Å.
Space group R-3m (No. 166, hexagonal axes)
One atom of each set of equivalent atoms:
Li  0.0000  0.0000  0.0000 (multiplicity 3)  6 O 2.35
Er  0.0000  0.0000  0.5000 (multiplicity 3)  6 O 2.26
O  0.0000  0.0000  0.2448 (multiplicity 6)  3 Er 2.26, 3 Li 2.35

* total magnetic moment: 0.00 μB/f.u.

---

B:
Crystalline LiErO2 at its relaxed geometry. Source: the Alexandria database, functional GGA-PBE.

a b c (Å): 6.1391 6.1643 6.2035
angles (deg): 90.00 119.15 90.00
Last column: nearest neighbours and their distance in Å.
Space group P2_1/c (No. 14)
One atom of each set of equivalent atoms:
Li  0.2162  0.1507  0.4474 (multiplicity 4)  3 O 1.96-2.06
Er  0.2636  0.6293  0.5173 (multiplicity 4)  6 O 2.20-2.32
O  0.0446  0.6106  0.7346 (multiplicity 4)  2 Li 2.02-2.06
O  0.4960  0.1641  0.1667 (multiplicity 4)  1 Li 1.96

* total magnetic moment: 0.00 μB/f.u.

---

Which one sits at the top of the stability order? B does.